(1)
This record from Alexandria describes a relaxed structure of LiNdEr2Pd4. The functional is GGA-PBE.

Cell lengths 4.8285, 4.8285, 24.3664 Å; angles 90.00, 90.00, 120.00 degrees
Space group R-3m (No. 166, hexagonal axes)
Unique sites:
Li (0.0000, 0.0000, 0.0000) (multiplicity 3)
Nd (0.0000, 0.0000, 0.5000) (multiplicity 3)
Er (0.0000, 0.0000, 0.2615) (multiplicity 6)
Pd (0.0000, 0.0000, 0.1118) (multiplicity 6)
Pd (0.0000, 0.0000, 0.3770) (multiplicity 6)

* density of states at the Fermi level: 3.95 states/eV/f.u.
* E_form: -0.760 eV/atom
* spin magnetization: 0.0 μB per formula unit

(2)
This record from Alexandria describes a relaxed structure of Li3Ta. The functional is GGA-PBE.

Cell lengths 5.132, 5.132, 2.639 Å; angles 90.00, 90.00, 90.00 degrees
Space group P4/mmm (No. 123)
Unique sites:
Li (0.000, 0.000, 0.000) (multiplicity 1)
Li (0.000, 0.500, 0.500) (multiplicity 2)
Ta (0.500, 0.500, 0.000) (multiplicity 1)

* density of states at the Fermi level: 2.15 states/eV/f.u.
* E_form: 0.496 eV/atom
* spin magnetization: 0.0 μB per formula unit

(3)
This record from Alexandria describes a relaxed structure of La6TcIr2Cl3. The functional is GGA-PBE.

Cell lengths 7.218, 12.512, 8.011 Å; angles 90.00, 107.48, 90.00 degrees
Space group C2/m (No. 12)
Unique sites:
La (0.232, 0.163, 0.205) (multiplicity 8)
La (0.241, 0.500, 0.205) (multiplicity 4)
Tc (0.000, 0.000, 0.000) (multiplicity 2)
Ir (0.000, 0.333, 0.000) (multiplicity 4)
Cl (0.000, 0.161, 0.500) (multiplicity 4)
Cl (0.000, 0.500, 0.500) (multiplicity 2)

* density of states at the Fermi level: 6.96 states/eV/f.u.
* spin magnetization: 0.0 μB per formula unit
* ΔE_f (raw): -1.1263 eV per atom

For the records above, the corresponding raw total energy values read -128.0 -15.6 -153.4 eV for the cell shown.